(1)
Entry from Alexandria via LeMat-Bulk: crystalline MgFeAu2 at its relaxed geometry (PBE-GGA).

Computed properties:
calculated formation energy = -40 kJ/mol of formula units
E = -4.2575 eV per atom

Cell: 9.5856 2.9414 4.8001 Å, 90.00 100.93 90.00°
With the nearest neighbours (Å) after each atom.
Fractional coordinates of all 8 atoms:
1 Mg 0.0000 0.0000 0.0000  7 Au 2.75-2.86, 2 Mg 2.94, 3 Fe 2.98-3.01
2 Mg 0.5000 0.5000 0.0000  7 Au 2.75-2.86, 2 Mg 2.94, 3 Fe 2.98-3.01
3 Fe 0.2459 0.0000 0.6929  7 Au 2.74-2.82, 2 Fe 2.94, 3 Mg 2.98-3.01
4 Fe 0.7459 0.5000 0.6929  7 Au 2.74-2.82, 2 Fe 2.94, 3 Mg 2.98-3.01
5 Au 0.0047 0.5000 0.5131  3 Fe 2.74-2.78, 4 Mg 2.77-2.86, 5 Au 2.94-3.02
6 Au 0.2479 0.5000 0.1935  3 Mg 2.75-2.80, 4 Fe 2.81-2.82, 5 Au 2.94-3.02
7 Au 0.5047 0.0000 0.5131  3 Fe 2.74-2.78, 4 Mg 2.77-2.86, 5 Au 2.94-3.02
8 Au 0.7479 0.0000 0.1935  3 Mg 2.75-2.80, 4 Fe 2.81-2.82, 5 Au 2.94-3.02

***

(2)
Entry from Alexandria via LeMat-Bulk: crystalline Mg2FeAu at its relaxed geometry (PBE-GGA).

Computed properties:
calculated formation energy = -45 kJ/mol of formula units
E = -3.8487 eV per atom

Cell: 4.2182 4.2182 3.7278 Å, 90.00 90.00 90.00°
With the nearest neighbours (Å) after each atom.
Fractional coordinates of all 4 atoms:
1 Mg 0.0000 0.5000 0.0000  4 Fe 2.81, 4 Au 2.81, 4 Mg 2.98
2 Mg 0.5000 0.0000 0.0000  4 Fe 2.81, 4 Au 2.81, 4 Mg 2.98
3 Fe 0.0000 0.0000 0.5000  8 Mg 2.81, 4 Au 2.98
4 Au 0.5000 0.5000 0.5000  8 Mg 2.81, 4 Fe 2.98

***

(3)
Entry from Alexandria via LeMat-Bulk: crystalline Mg2FeAu at its relaxed geometry (PBE-GGA).

Computed properties:
calculated formation energy = 79 kJ/mol of formula units
E = -3.5282 eV per atom

Cell: 7.2933 7.2933 5.5541 Å, 90.00 90.00 90.00°
With the nearest neighbours (Å) after each atom.
Fractional coordinates of all 16 atoms:
1 Mg 0.2471 0.7500 0.1250  2 Au 2.66, 2 Fe 2.68, 2 Mg 2.78
2 Mg 0.2500 0.2471 0.8750  2 Au 2.66, 2 Fe 2.68, 2 Mg 2.78
3 Mg 0.2500 0.2529 0.3750  2 Au 2.66, 2 Fe 2.68, 2 Mg 2.78
4 Mg 0.2529 0.7500 0.6250  2 Au 2.66, 2 Fe 2.68, 2 Mg 2.78
5 Mg 0.7471 0.2500 0.6250  2 Au 2.66, 2 Fe 2.68, 2 Mg 2.78
6 Mg 0.7500 0.7471 0.3750  2 Au 2.66, 2 Fe 2.68, 2 Mg 2.78
7 Mg 0.7500 0.7529 0.8750  2 Au 2.66, 2 Fe 2.68, 2 Mg 2.78
8 Mg 0.7529 0.2500 0.1250  2 Au 2.66, 2 Fe 2.68, 2 Mg 2.78
9 Fe 0.0000 0.0000 0.5000  4 Mg 2.68, 2 Au 2.78
10 Fe 0.0000 0.5000 0.7500  4 Mg 2.68, 2 Au 2.78
11 Fe 0.5000 0.0000 0.2500  4 Mg 2.68, 2 Au 2.78
12 Fe 0.5000 0.5000 0.0000  4 Mg 2.68, 2 Au 2.78
13 Au 0.0000 0.0000 0.0000  4 Mg 2.66, 2 Fe 2.78
14 Au 0.0000 0.5000 0.2500  4 Mg 2.66, 2 Fe 2.78
15 Au 0.5000 0.0000 0.7500  4 Mg 2.66, 2 Fe 2.78
16 Au 0.5000 0.5000 0.5000  4 Mg 2.66, 2 Fe 2.78

***

(4)
Entry from Alexandria via LeMat-Bulk: crystalline Mg2FeAu at its relaxed geometry (PBE-GGA).

Computed properties:
calculated formation energy = -20 kJ/mol of formula units
E = -3.7840 eV per atom

Cell: 3.1465 4.5762 9.5230 Å, 90.00 90.00 90.00°
With the nearest neighbours (Å) after each atom.
Fractional coordinates of all 8 atoms:
1 Mg 0.0000 0.0000 0.0000  4 Au 2.79, 2 Fe 2.79, 4 Mg 3.09-3.11
2 Mg 0.0000 0.5000 0.2180  4 Fe 2.79, 2 Au 2.85, 4 Mg 3.09-3.11
3 Mg 0.5000 0.0000 0.7180  4 Fe 2.79, 2 Au 2.85, 4 Mg 3.09-3.11
4 Mg 0.5000 0.5000 0.5000  4 Au 2.79, 2 Fe 2.79, 4 Mg 3.09-3.11
5 Fe 0.0000 0.5000 0.7425  2 Au 2.67, 6 Mg 2.79
6 Fe 0.5000 0.0000 0.2425  2 Au 2.67, 6 Mg 2.79
7 Au 0.0000 0.0000 0.4690  2 Fe 2.67, 6 Mg 2.79-2.85
8 Au 0.5000 0.5000 0.9690  2 Fe 2.67, 6 Mg 2.79-2.85